Density functional theory data (PBE) for crystalline CuSnSe2 at its relaxed geometry.

Cell lengths 7.836, 7.836, 7.836 Å; angles 31.95, 31.95, 31.95 degrees
Sites, in units of the cell vectors:
Cu 0.000 0.000 0.000
Sn 0.500 0.500 0.500
Se 0.899 0.899 0.899
Se 0.101 0.101 0.101

**DFT total energy**: -3.92 eV/atom
**Formation energy without anion corrections**: -153 meV per atom
**Total moment**: 0.00 μB/cell
**Fermi-level density of states**: 0.597 states/eV per atom